This record from Alexandria describes a relaxed structure of Li2NbBCl. The functional is PBE.

Summary:
Calculated volume ... 26.30 Å³ per atom
Uncorrected formation energy ... 0.949 eV/atom
DOS(E_F) ... 0.580 states/eV per atom
Total moment ... 1.96 μB per formula unit

Structure (CIF):
```
data_Li2NbBCl
_symmetry_space_group_name_H-M 'P 4/m m m'
_symmetry_Int_Tables_number 123
_symmetry_space_group_name_Hall '-P 4 2'
_cell_length_a 5.732
_cell_length_b 5.732
_cell_length_c 4.002
_cell_angle_alpha 90.00
_cell_angle_beta 90.00
_cell_angle_gamma 90.00
loop_
_atom_site_label
_atom_site_type_symbol
_atom_site_fract_x
_atom_site_fract_y
_atom_site_fract_z
Li1 Li 0.000 0.500 0.000
Nb1 Nb 0.000 0.000 0.000
B1 B 0.000 0.000 0.500
Cl1 Cl 0.500 0.500 0.500
```

---

This record from Alexandria describes a relaxed structure of LiNi2BCl. The functional is PBE.

Summary:
Calculated volume ... 13.01 Å³ per atom
Uncorrected formation energy ... 1.286 eV/atom
DOS(E_F) ... 0.854 states/eV per atom
Total moment ... 0.25 μB per formula unit

Structure (CIF):
```
data_LiNi2BCl
_symmetry_space_group_name_H-M 'P 4/m m m'
_symmetry_Int_Tables_number 123
_symmetry_space_group_name_Hall '-P 4 2'
_cell_length_a 4.176
_cell_length_b 4.176
_cell_length_c 3.731
_cell_angle_alpha 90.00
_cell_angle_beta 90.00
_cell_angle_gamma 90.00
loop_
_atom_site_label
_atom_site_type_symbol
_atom_site_fract_x
_atom_site_fract_y
_atom_site_fract_z
Li1 Li 0.000 0.000 0.000
Ni1 Ni 0.000 0.500 0.000
B1 B 0.000 0.000 0.500
Cl1 Cl 0.500 0.500 0.500
```

---

This record from Alexandria describes a relaxed structure of LiBS4Cl4O12. The functional is PBE.

Summary:
Calculated volume ... 19.31 Å³ per atom
Uncorrected formation energy ... -1.231 eV/atom
DOS(E_F) ... 0.000 states/eV per atom
Total moment ... 0.06 μB per formula unit

Structure (CIF):
```
data_LiBS4Cl4O12
_symmetry_space_group_name_H-M 'P 1 21/c 1'
_symmetry_Int_Tables_number 14
_cell_length_a 9.061
_cell_length_b 8.651
_cell_length_c 21.693
_cell_angle_alpha 90.00
_cell_angle_beta 91.82
_cell_angle_gamma 90.00
loop_
_symmetry_equiv_pos_as_xyz
'x,y,z'
'-x,-y,-z'
'-x,y+1/2,-z+1/2'
'x,-y+1/2,z+1/2'
loop_
_atom_site_label
_atom_site_type_symbol
_atom_site_fract_x
_atom_site_fract_y
_atom_site_fract_z
Li1 Li 0.092 0.250 0.058
B1 B 0.342 0.747 0.412
S1 S 0.137 0.627 0.831
S2 S 0.185 0.018 0.938
S3 S 0.223 0.606 0.013
S4 S 0.402 0.182 0.147
Cl1 Cl 0.048 0.746 0.260
Cl2 Cl 0.241 0.163 0.869
Cl3 Cl 0.362 0.701 0.077
Cl4 Cl 0.427 0.170 0.719
O1 O 0.027 0.612 0.877
O2 O 0.050 0.556 0.417
O3 O 0.092 0.700 0.010
O4 O 0.191 0.106 0.994
O5 O 0.199 0.010 0.305
O6 O 0.213 0.055 0.526
O7 O 0.251 0.194 0.126
O8 O 0.260 0.743 0.852
O9 O 0.311 0.619 0.953
O10 O 0.317 0.596 0.442
O11 O 0.461 0.036 0.166
O12 O 0.497 0.239 0.597
```

---

This record from Alexandria describes a relaxed structure of LiBPCl2. The functional is PBE.

Summary:
Calculated volume ... 21.45 Å³ per atom
Uncorrected formation energy ... 0.918 eV/atom
DOS(E_F) ... 0.541 states/eV per atom
Energy relative to the lowest polymorph listed for this composition ... 853 meV per atom
Total moment ... 2.61 μB per formula unit

Structure (CIF):
```
data_LiBPCl2
_symmetry_space_group_name_H-M 'P 4/m m m'
_symmetry_Int_Tables_number 123
_symmetry_space_group_name_Hall '-P 4 2'
_cell_length_a 4.648
_cell_length_b 4.648
_cell_length_c 4.964
_cell_angle_alpha 90.00
_cell_angle_beta 90.00
_cell_angle_gamma 90.00
loop_
_atom_site_label
_atom_site_type_symbol
_atom_site_fract_x
_atom_site_fract_y
_atom_site_fract_z
Li1 Li 0.000 0.000 0.000
B1 B 0.500 0.500 0.500
P1 P 0.000 0.000 0.500
Cl1 Cl 0.000 0.500 0.000
```

---

Which value of DOS(E_F) does entry 1 give? 0.580 states/eV per atom

---

Which of these has the lowest total moment? LiBS4Cl4O12

---

Which value of calculated volume does entry 2 give? 13.01 Å³ per atom

---

Copy entry 2 word for word.
This record from Alexandria describes a relaxed structure of LiNi2BCl. The functional is PBE.

Summary:
Calculated volume ... 13.01 Å³ per atom
Uncorrected formation energy ... 1.286 eV/atom
DOS(E_F) ... 0.854 states/eV per atom
Total moment ... 0.25 μB per formula unit

Structure (CIF):
```
data_LiNi2BCl
_symmetry_space_group_name_H-M 'P 4/m m m'
_symmetry_Int_Tables_number 123
_symmetry_space_group_name_Hall '-P 4 2'
_cell_length_a 4.176
_cell_length_b 4.176
_cell_length_c 3.731
_cell_angle_alpha 90.00
_cell_angle_beta 90.00
_cell_angle_gamma 90.00
loop_
_atom_site_label
_atom_site_type_symbol
_atom_site_fract_x
_atom_site_fract_y
_atom_site_fract_z
Li1 Li 0.000 0.000 0.000
Ni1 Ni 0.000 0.500 0.000
B1 B 0.000 0.000 0.500
Cl1 Cl 0.500 0.500 0.500
```